A plane-wave DFT calculation with GGA+U was carried out for a geometry-optimized Pu2FeO6 structure.

Density of states at the Fermi level (states/eV per cell): 18.71
ρ (g cm⁻³): 9.916
Total moment (μB/cell): 24.00
E (eV/atom): -9.5167
Polymorph energy (0 for the lowest one) (eV/atom): 0.070

The structure in CIF format:
```
data_Pu2FeO6
_chemical_formula_sum 'Pu4 Fe2 O12'
_symmetry_space_group_name_H-M 'I 4/m m m'
_symmetry_Int_Tables_number 139
_symmetry_space_group_name_Hall '-I 4 2'
_cell_length_a 3.7069
_cell_length_b 3.7069
_cell_length_c 15.5949
_cell_angle_alpha 90.00
_cell_angle_beta 90.00
_cell_angle_gamma 90.00
loop_
_atom_site_label
_atom_site_type_symbol
_atom_site_fract_x
_atom_site_fract_y
_atom_site_fract_z
Pu1 Pu 0.0000 0.0000 0.1617
Fe1 Fe 0.0000 0.0000 0.5000
O1 O 0.0000 0.5000 0.0797
O2 O 0.0000 0.5000 0.2500
```